## La3GeS (GGA-PBE)

Data for an optimized crystal structure of La3GeS.

Cell and atoms, written as POSCAR:
```
La3GeS
1.0
5.427 0.000 0.000
0.000 5.427 0.000
0.000 0.000 5.427
La Ge S
3 1 1
Direct
0.000 0.000 0.500
0.000 0.500 0.000
0.500 0.000 0.000
0.500 0.500 0.500
0.000 0.000 0.000
```

Values from the calculation:
uncorrected energy: -5.551 eV/atom